CsTc3H after structural relaxation, computed with PBE-GGA.

a = 4.206 Å, b = 4.206 Å, c = 4.206 Å
α = 90.00°, β = 90.00°, γ = 90.00°
Atoms (fractional coordinates):
Cs (0.000, 0.000, 0.000)
Tc (0.000, 0.500, 0.500)
Tc (0.500, 0.000, 0.500)
Tc (0.500, 0.500, 0.000)
H (0.500, 0.500, 0.500)

Energy relative to the lowest polymorph listed for this composition in eV per atom: 0.0000
Space-group type: Pm-3m, No. 221
Magnetic moment in μB per cell: 1.75



Al3Te5 after structural relaxation, computed with PBE-GGA.

a = 6.130 Å, b = 6.130 Å, c = 5.578 Å
α = 90.00°, β = 90.00°, γ = 102.01°
Atoms (fractional coordinates):
Al (0.000, 0.000, 0.000)
Al (0.300, 0.700, 0.500)
Al (0.700, 0.300, 0.500)
Te (0.000, 0.500, 0.000)
Te (0.207, 0.207, 0.500)
Te (0.500, 0.000, 0.000)
Te (0.500, 0.500, 0.000)
Te (0.793, 0.793, 0.500)

Energy relative to the lowest polymorph listed for this composition in eV per atom: 0.4381
Space-group type: Cmmm, No. 65
Uncorrected formation energy in meV/atom: 163
Magnetic moment in μB per cell: 0.00



BaZrRu2 after structural relaxation, computed with PBE-GGA.

a = 3.363 Å, b = 3.363 Å, c = 7.615 Å
α = 90.00°, β = 90.00°, γ = 90.00°
Atoms (fractional coordinates):
Ba (0.000, 0.000, 0.000)
Zr (0.000, 0.000, 0.500)
Ru (0.500, 0.500, 0.307)
Ru (0.500, 0.500, 0.693)

Energy relative to the lowest polymorph listed for this composition in eV per atom: 0.0000
Space-group type: P4/mmm, No. 123
DFT formation energy in eV per atom: 0.129
Magnetic moment in μB per cell: 0.00



CaCrPd after structural relaxation, computed with PBE-GGA.

a = 3.124 Å, b = 5.610 Å, c = 7.320 Å
α = 98.18°, β = 102.23°, γ = 105.75°
Atoms (fractional coordinates):
Ca (0.217, 0.141, 0.285)
Ca (0.783, 0.859, 0.715)
Cr (0.344, 0.630, 0.054)
Cr (0.656, 0.370, 0.946)
Pd (0.022, 0.383, 0.658)
Pd (0.978, 0.617, 0.342)

Energy relative to the lowest polymorph listed for this composition in eV per atom: 0.1247
Space-group type: P-1, No. 2
DFT formation energy in eV per atom: 0.037
Magnetic moment in μB per cell: 0.00